(1)
# Sc4HgRh (GGA-PBEsol, relaxed)
data_Sc4HgRh
_cell_length_a 7.732
_cell_length_b 7.732
_cell_length_c 7.732
_cell_angle_alpha 90.00
_cell_angle_beta 90.00
_cell_angle_gamma 90.00
_symmetry_space_group_name_H-M 'F -4 3 m'
_symmetry_Int_Tables_number 216
_symmetry_space_group_name_Hall 'F -4 2 3'
loop_
_atom_site_label
_atom_site_type_symbol
_atom_site_fract_x
_atom_site_fract_y
_atom_site_fract_z
Sc1 Sc 0.124 0.124 0.124
Hg1 Hg 0.000 0.000 0.500
Rh1 Rh 0.250 0.250 0.750
# Energy relative to the elements = 0.184 eV per atom
# Crystal system = cubic
# Magnetization = 0.00 μB per formula unit

---

(2)
# Hg2RhSe (GGA-PBEsol, relaxed)
data_Hg2RhSe
_cell_length_a 3.758
_cell_length_b 4.319
_cell_length_c 8.986
_cell_angle_alpha 90.00
_cell_angle_beta 90.00
_cell_angle_gamma 90.00
_symmetry_space_group_name_H-M 'I m m m'
_symmetry_Int_Tables_number 71
_symmetry_space_group_name_Hall '-I 2 2'
loop_
_atom_site_label
_atom_site_type_symbol
_atom_site_fract_x
_atom_site_fract_y
_atom_site_fract_z
Hg1 Hg 0.000 0.000 0.243
Rh1 Rh 0.000 0.500 0.500
Se1 Se 0.000 0.500 0.000
# Uncorrected formation energy = 241 meV per atom
# Crystal system = orthorhombic
# Magnetization = 0.00 μB per formula unit

---

(3)
# HgRh2Se2 (GGA-PBEsol, relaxed)
data_HgRh2Se2
_cell_length_a 3.862
_cell_length_b 3.862
_cell_length_c 14.251
_cell_angle_alpha 90.00
_cell_angle_beta 90.00
_cell_angle_gamma 90.00
_symmetry_space_group_name_H-M 'I 4/m m m'
_symmetry_Int_Tables_number 139
_symmetry_space_group_name_Hall '-I 4 2'
loop_
_atom_site_label
_atom_site_type_symbol
_atom_site_fract_x
_atom_site_fract_y
_atom_site_fract_z
Hg1 Hg 0.000 0.000 0.000
Rh1 Rh 0.000 0.500 0.250
Se1 Se 0.000 0.000 0.354
# Uncorrected formation energy = -158 meV per atom
# Crystal system = tetragonal
# Magnetization = 0.00 μB per formula unit

---

(4)
# HgRhSe2 (GGA-PBEsol, relaxed)
data_HgRhSe2
_cell_length_a 3.6756
_cell_length_b 3.6756
_cell_length_c 20.9551
_cell_angle_alpha 90.00
_cell_angle_beta 90.00
_cell_angle_gamma 120.00
_symmetry_space_group_name_H-M 'R -3 m'
_symmetry_Int_Tables_number 166
_symmetry_space_group_name_Hall '-R 3 2"'
loop_
_atom_site_label
_atom_site_type_symbol
_atom_site_fract_x
_atom_site_fract_y
_atom_site_fract_z
Hg1 Hg 0.0000 0.0000 0.0000
Rh1 Rh 0.0000 0.0000 0.5000
Se1 Se 0.0000 0.0000 0.2282
# Uncorrected formation energy = -282 meV per atom
# Crystal system = trigonal
# Magnetization = 0.00 μB per formula unit

---

(5)
# HgRhSe (GGA-PBEsol, relaxed)
data_HgRhSe
_cell_length_a 6.189
_cell_length_b 6.189
_cell_length_c 6.189
_cell_angle_alpha 90.00
_cell_angle_beta 90.00
_cell_angle_gamma 90.00
_symmetry_space_group_name_H-M 'F -4 3 m'
_symmetry_Int_Tables_number 216
_symmetry_space_group_name_Hall 'F -4 2 3'
loop_
_atom_site_label
_atom_site_type_symbol
_atom_site_fract_x
_atom_site_fract_y
_atom_site_fract_z
Hg1 Hg 0.000 0.000 0.000
Rh1 Rh 0.250 0.250 0.750
Se1 Se 0.000 0.000 0.500
# Excess energy over the best structure of this formula in the dataset = 0.0 meV per atom
# Uncorrected formation energy = 115 meV per atom
# Crystal system = cubic
# Magnetization = 0.00 μB per formula unit

---

(6)
# Hg2RhSe (GGA-PBEsol, relaxed)
data_Hg2RhSe
_cell_length_a 3.3739
_cell_length_b 3.3739
_cell_length_c 24.8487
_cell_angle_alpha 90.00
_cell_angle_beta 90.00
_cell_angle_gamma 120.00
_symmetry_space_group_name_H-M 'R 3 m'
_symmetry_Int_Tables_number 160
_symmetry_space_group_name_Hall 'R 3 -2"'
loop_
_atom_site_label
_atom_site_type_symbol
_atom_site_fract_x
_atom_site_fract_y
_atom_site_fract_z
Hg1 Hg 0.0000 0.0000 0.0000
Hg2 Hg 0.0000 0.0000 0.2408
Rh1 Rh 0.0000 0.0000 0.4919
Se1 Se 0.0000 0.0000 0.7707
# Uncorrected formation energy = -121 meV per atom
# Crystal system = trigonal
# Magnetization = 0.00 μB per formula unit

---

(7)
# HgRhSe2 (GGA-PBEsol, relaxed)
data_HgRhSe2
_cell_length_a 4.729
_cell_length_b 3.638
_cell_length_c 5.370
_cell_angle_alpha 90.00
_cell_angle_beta 114.42
_cell_angle_gamma 90.00
_symmetry_space_group_name_H-M 'P 1 2/m 1'
_symmetry_Int_Tables_number 10
_symmetry_space_group_name_Hall '-P 2y'
loop_
_atom_site_label
_atom_site_type_symbol
_atom_site_fract_x
_atom_site_fract_y
_atom_site_fract_z
Hg1 Hg 0.000 0.000 0.000
Rh1 Rh 0.000 0.000 0.500
Se1 Se 0.375 0.500 0.662
# Uncorrected formation energy = -242 meV per atom
# Crystal system = monoclinic
# Magnetization = 0.00 μB per formula unit

---

(8)
# HgRhSe2 (GGA-PBEsol, relaxed)
data_HgRhSe2
_cell_length_a 3.665
_cell_length_b 3.665
_cell_length_c 6.039
_cell_angle_alpha 90.00
_cell_angle_beta 90.00
_cell_angle_gamma 90.00
_symmetry_space_group_name_H-M 'P 4 m m'
_symmetry_Int_Tables_number 99
_symmetry_space_group_name_Hall 'P 4 -2'
loop_
_atom_site_label
_atom_site_type_symbol
_atom_site_fract_x
_atom_site_fract_y
_atom_site_fract_z
Hg1 Hg 0.000 0.000 0.000
Rh1 Rh 0.500 0.500 0.449
Se1 Se 0.000 0.000 0.438
Se2 Se 0.500 0.500 0.839
# Uncorrected formation energy = 42 meV per atom
# Crystal system = tetragonal
# Magnetization = 0.00 μB per formula unit

---

(9)
# SnHg2RhSe (GGA-PBEsol, relaxed)
data_SnHg2RhSe
_cell_length_a 5.103
_cell_length_b 5.103
_cell_length_c 4.962
_cell_angle_alpha 90.00
_cell_angle_beta 90.00
_cell_angle_gamma 90.00
_symmetry_space_group_name_H-M 'P 4/m m m'
_symmetry_Int_Tables_number 123
_symmetry_space_group_name_Hall '-P 4 2'
loop_
_atom_site_label
_atom_site_type_symbol
_atom_site_fract_x
_atom_site_fract_y
_atom_site_fract_z
Sn1 Sn 0.000 0.000 0.000
Hg1 Hg 0.000 0.500 0.500
Rh1 Rh 0.000 0.000 0.500
Se1 Se 0.500 0.500 0.000
# Uncorrected formation energy = 232 meV per atom
# Crystal system = tetragonal
# Magnetization = 0.00 μB per formula unit

---

(10)
# HgTe2RhSe (GGA-PBEsol, relaxed)
data_HgTe2RhSe
_cell_length_a 5.453
_cell_length_b 5.453
_cell_length_c 5.026
_cell_angle_alpha 90.00
_cell_angle_beta 90.00
_cell_angle_gamma 90.00
_symmetry_space_group_name_H-M 'P 4/m m m'
_symmetry_Int_Tables_number 123
_symmetry_space_group_name_Hall '-P 4 2'
loop_
_atom_site_label
_atom_site_type_symbol
_atom_site_fract_x
_atom_site_fract_y
_atom_site_fract_z
Hg1 Hg 0.000 0.000 0.000
Te1 Te 0.000 0.500 0.000
Rh1 Rh 0.500 0.500 0.500
Se1 Se 0.000 0.000 0.500
# Uncorrected formation energy = 1333 meV per atom
# Crystal system = tetragonal
# Magnetization = 1.87 μB per formula unit

---

(11)
# SiHg3Rh (GGA-PBEsol, relaxed)
data_SiHg3Rh
_cell_length_a 4.838
_cell_length_b 4.838
_cell_length_c 4.838
_cell_angle_alpha 90.00
_cell_angle_beta 90.00
_cell_angle_gamma 90.00
_symmetry_space_group_name_H-M 'P m -3 m'
_symmetry_Int_Tables_number 221
_symmetry_space_group_name_Hall '-P 4 2 3'
loop_
_atom_site_label
_atom_site_type_symbol
_atom_site_fract_x
_atom_site_fract_y
_atom_site_fract_z
Si1 Si 0.000 0.000 0.000
Hg1 Hg 0.000 0.000 0.500
Rh1 Rh 0.500 0.500 0.500
# Uncorrected formation energy = 927 meV per atom
# Crystal system = cubic
# Magnetization = 0.00 μB per formula unit

---

(12)
# SrSiHgRh2 (GGA-PBEsol, relaxed)
data_SrSiHgRh2
_cell_length_a 4.838
_cell_length_b 4.838
_cell_length_c 5.345
_cell_angle_alpha 90.00
_cell_angle_beta 90.00
_cell_angle_gamma 90.00
_symmetry_space_group_name_H-M 'P 4/m m m'
_symmetry_Int_Tables_number 123
_symmetry_space_group_name_Hall '-P 4 2'
loop_
_atom_site_label
_atom_site_type_symbol
_atom_site_fract_x
_atom_site_fract_y
_atom_site_fract_z
Sr1 Sr 0.000 0.000 0.000
Si1 Si 0.000 0.000 0.500
Hg1 Hg 0.500 0.500 0.500
Rh1 Rh 0.000 0.500 0.000
# Uncorrected formation energy = 1763 meV per atom
# Crystal system = tetragonal
# Magnetization = 0.00 μB per formula unit